Record 1
DFT (PBE-GGA) results for Nd4Ho3ErTe8 after structural relaxation.

The structure in POSCAR format:
```
Nd4Ho3ErTe8
1.0
-7.459 3.293 -3.077
-4.614 -6.084 4.675
5.650 5.163 4.169
Nd Te Ho Er
4 8 3 1
Cartesian
-0.905 4.228 0.546
0.000 0.000 0.000
-3.730 1.646 -1.539
2.825 2.581 2.085
0.379 1.447 6.814
-2.453 -1.141 4.725
-6.802 0.925 -1.047
-0.241 1.862 2.576
-3.359 3.097 5.272
-6.183 0.510 3.192
-3.971 3.512 1.043
-3.064 -0.725 0.495
0.518 -0.460 4.422
-3.212 1.186 2.884
-6.037 -1.396 0.799
-2.307 -3.042 2.338
```

**E_tot**: -0.38512 Ry/atom
**Formation energy from raw total energies**: -1.334 eV/atom
**Symmetry**: R-3m (166)
**D(E_F)**: 0.666 states/eV per atom

Record 2
DFT (PBE-GGA) results for ZrZn2FeCu after structural relaxation.

The structure in POSCAR format:
```
ZrZn2FeCu
1.0
5.186 0.000 0.000
0.000 4.382 0.000
0.000 0.000 5.186
Fe Cu Zr Zn
1 1 1 2
Cartesian
0.000 2.191 0.000
2.593 2.191 2.593
0.000 0.000 0.000
2.593 0.000 0.000
0.000 0.000 2.593
```

**E_tot**: -0.24524 Ry/atom
**Symmetry**: P4/mmm (123)
**D(E_F)**: 0.822 states/eV per atom

Record 3
DFT (PBE-GGA) results for BSO6 after structural relaxation.

The structure in POSCAR format:
```
BSO6
1.0
4.910 -0.598 -0.728
-2.382 4.336 -0.728
-1.150 -1.700 5.350
O B S
6 1 1
Cartesian
1.243 -0.079 0.932
1.658 2.451 0.836
0.136 2.117 2.962
-0.280 -0.413 3.058
-0.536 1.124 0.932
1.915 0.914 2.962
0.000 0.000 0.000
0.689 1.019 1.947
```

**E_tot**: -0.41967 Ry/atom
**Formation energy from raw total energies**: -0.641 eV/atom
**Symmetry**: C2/m (12)

Record 4
DFT (PBE-GGA) results for AcHg3Pd after structural relaxation.

The structure in POSCAR format:
```
AcHg3Pd
1.0
0.131 2.382 -5.270
2.925 -5.128 -2.244
-6.230 -3.956 0.918
Hg Pd Ac
6 2 2
Cartesian
0.347 -1.001 -5.216
-0.817 -3.819 -4.997
0.378 -5.907 -2.852
0.164 -0.676 -2.014
1.541 -3.090 -3.071
-2.365 -1.105 -3.809
-1.874 -7.411 -2.351
-3.631 -3.453 -4.798
-2.563 -4.101 -1.925
-2.943 -6.764 -5.224
```

**E_tot**: -0.18137 Ry/atom
**Energy above the lowest structure with this stoichiometry**: 0.0000 eV/atom
**Symmetry**: P2_1/m (11)
**D(E_F)**: 0.490 states/eV per atom

Record 5
DFT (PBE-GGA) results for Y2Ga4Pt3 after structural relaxation.

The structure in POSCAR format:
```
Y2Ga4Pt3
1.0
-5.042 -0.611 2.187
1.233 -2.283 -4.883
3.847 -3.890 4.334
Y Ga Pt
2 4 3
Cartesian
-1.407 -2.813 -0.584
1.445 -3.971 2.222
3.375 -4.112 -0.353
-3.337 -2.672 1.991
-0.785 -3.004 4.334
0.824 -3.781 -2.696
0.617 -1.141 -2.441
-2.521 -0.306 1.094
0.000 0.000 0.000
```

**E_tot**: -0.41113 Ry/atom
**Symmetry**: Fmmm (69)
**D(E_F)**: 0.483 states/eV per atom

Record 6
DFT (PBE-GGA) results for U2AgBr8 after structural relaxation.

The structure in POSCAR format:
```
U2AgBr8
1.0
-4.158 5.800 -3.946
-6.990 0.557 3.543
2.134 6.856 3.186
U Br Ag
2 8 1
Cartesian
-6.418 9.521 3.982
-2.596 3.693 -1.199
-4.816 7.210 4.125
-0.839 7.775 2.652
-6.827 3.641 2.886
-2.823 4.170 1.421
-4.197 6.004 -1.343
-6.190 9.044 1.362
-8.175 5.438 0.131
-2.187 9.572 -0.103
0.000 0.000 0.000
```

**E_tot**: -0.33285 Ry/atom
**Formation energy from raw total energies**: -1.000 eV/atom
**Symmetry**: C2/m (12)
**D(E_F)**: 0.178 states/eV per atom

Record 7
DFT (PBE-GGA) results for TaSeN2Cl after structural relaxation.

The structure in POSCAR format:
```
TaSeN2Cl
1.0
-2.139 2.632 2.073
-2.687 -2.816 0.804
2.836 -1.373 4.670
N Se Cl Ta
2 1 1 1
Cartesian
-1.069 1.316 1.036
-1.344 -1.408 0.402
1.418 -0.687 2.335
-0.995 -0.779 3.773
0.000 0.000 0.000
```

**E_tot**: -0.47239 Ry/atom
**Energy above the lowest structure with this stoichiometry**: 0.0000 eV/atom
**Formation energy from raw total energies**: 0.340 eV/atom
**Symmetry**: P4/mmm (123)
**D(E_F)**: 0.882 states/eV per atom

Record 8
DFT (PBE-GGA) results for SrZnHgPd3 after structural relaxation.

The structure in POSCAR format:
```
SrZnHgPd3
1.0
5.925 0.000 0.000
0.000 6.967 0.000
0.000 -3.483 6.328
Pd Zn Sr Hg
6 2 2 2
Cartesian
0.000 4.827 0.000
1.481 0.000 2.058
0.000 2.140 0.000
2.963 4.827 0.000
2.963 2.140 0.000
4.444 3.483 4.270
4.444 3.483 1.717
1.481 0.000 4.611
4.444 0.000 3.857
1.481 3.483 2.471
4.444 0.000 0.797
1.481 3.483 5.531
```

**E_tot**: -0.25257 Ry/atom
**Symmetry**: Cmcm (63)
**D(E_F)**: 0.234 states/eV per atom